No. 1
# Ba3Hg7Bi4 (PBE-GGA, relaxed)
data_Ba3Hg7Bi4
_symmetry_space_group_name_H-M 'P 1'
_symmetry_Int_Tables_number 1
_symmetry_space_group_name_Hall 'P 1'
_cell_length_a 5.110
_cell_length_b 9.809
_cell_length_c 10.330
_cell_angle_alpha 68.54
_cell_angle_beta 75.68
_cell_angle_gamma 74.90
loop_
_atom_site_label
_atom_site_type_symbol
_atom_site_fract_x
_atom_site_fract_y
_atom_site_fract_z
Ba1 Ba 0.307 0.199 0.186
Ba2 Ba 0.693 0.801 0.814
Ba3 Ba 0.000 0.500 0.500
Hg1 Hg 0.322 0.815 0.542
Hg2 Hg 0.506 0.173 0.816
Hg3 Hg 0.851 0.356 0.942
Hg4 Hg 0.678 0.185 0.458
Hg5 Hg 0.149 0.644 0.058
Hg6 Hg 0.000 0.000 0.000
Hg7 Hg 0.494 0.827 0.184
Bi1 Bi 0.644 0.484 0.229
Bi2 Bi 0.356 0.516 0.771
Bi3 Bi 0.867 0.904 0.362
Bi4 Bi 0.133 0.096 0.638
# Space group: No. 12



No. 2
# BaHgBi2 (PBE-GGA, relaxed)
data_BaHgBi2
_symmetry_space_group_name_H-M 'P 1'
_symmetry_Int_Tables_number 1
_symmetry_space_group_name_Hall 'P 1'
_cell_length_a 5.688
_cell_length_b 7.078
_cell_length_c 7.731
_cell_angle_alpha 117.27
_cell_angle_beta 90.00
_cell_angle_gamma 90.00
loop_
_atom_site_label
_atom_site_type_symbol
_atom_site_fract_x
_atom_site_fract_y
_atom_site_fract_z
Ba1 Ba 0.750 0.187 0.375
Ba2 Ba 0.250 0.813 0.625
Hg1 Hg 0.250 0.341 0.683
Hg2 Hg 0.750 0.659 0.317
Bi1 Bi 0.250 0.322 0.115
Bi2 Bi 0.750 0.678 0.885
Bi3 Bi 0.750 0.208 0.885
Bi4 Bi 0.250 0.792 0.115
# Space group: No. 63



Number 1: formation energy -0.4191 eV/atom. Number 2: formation energy -0.4854 eV/atom.